Entry 1:
# SrRu2Br | the Alexandria database | GGA-PBEsol | optimized geometry
data_SrRu2Br
_chemical_formula_sum 'Sr2 Ru4 Br2'
_space_group_name_H-M_alt 'I m m m'
_space_group_IT_number 71
_space_group_name_Hall '-I 2 2'
_cell_length_a 3.0191
_cell_length_b 4.7471
_cell_length_c 10.2073
_cell_angle_alpha 90.00
_cell_angle_beta 90.00
_cell_angle_gamma 90.00
loop_
_atom_site_label
_atom_site_type_symbol
_atom_site_fract_x
_atom_site_fract_y
_atom_site_fract_z
Sr1 Sr 0.0000 0.0000 0.0000
Ru1 Ru 0.0000 0.5000 0.2244
Br1 Br 0.0000 0.0000 0.5000
# ΔE to the lowest computed polymorph: 424.7 meV/atom
# crystal system: orthorhombic



Entry 2:
# SrTiRuBr2 | the Alexandria database | GGA-PBEsol | optimized geometry
data_SrTiRuBr2
_chemical_formula_sum 'Sr1 Ti1 Ru1 Br2'
_space_group_name_H-M_alt 'P 4/m m m'
_space_group_IT_number 123
_space_group_name_Hall '-P 4 2'
_cell_length_a 5.0707
_cell_length_b 5.0707
_cell_length_c 4.5798
_cell_angle_alpha 90.00
_cell_angle_beta 90.00
_cell_angle_gamma 90.00
loop_
_atom_site_label
_atom_site_type_symbol
_atom_site_fract_x
_atom_site_fract_y
_atom_site_fract_z
Sr1 Sr 0.0000 0.0000 0.0000
Ti1 Ti 0.5000 0.5000 0.5000
Ru1 Ru 0.5000 0.5000 0.0000
Br1 Br 0.0000 0.5000 0.5000
# crystal system: tetragonal



Entry 3:
# TaRu2Br | the Alexandria database | GGA-PBEsol | optimized geometry
data_TaRu2Br
_chemical_formula_sum 'Ta2 Ru4 Br2'
_space_group_name_H-M_alt 'C 1 2/m 1'
_space_group_IT_number 12
_space_group_name_Hall '-C 2y'
_cell_length_a 5.4709
_cell_length_b 8.7398
_cell_length_c 2.9273
_cell_angle_alpha 90.00
_cell_angle_beta 117.91
_cell_angle_gamma 90.00
loop_
_atom_site_label
_atom_site_type_symbol
_atom_site_fract_x
_atom_site_fract_y
_atom_site_fract_z
Ta1 Ta 0.0000 0.0000 0.0000
Ru1 Ru 0.2500 0.2500 0.5000
Br1 Br 0.0000 0.5000 0.0000
# ΔE to the lowest computed polymorph: 303.6 meV/atom
# crystal system: monoclinic



Entry 4:
# TaRuBr2 | the Alexandria database | GGA-PBEsol | optimized geometry
data_TaRuBr2
_chemical_formula_sum 'Ta1 Ru1 Br2'
_space_group_name_H-M_alt 'P 1 2/m 1'
_space_group_IT_number 10
_space_group_name_Hall '-P 2y'
_cell_length_a 3.4252
_cell_length_b 4.4630
_cell_length_c 4.7883
_cell_angle_alpha 90.00
_cell_angle_beta 90.31
_cell_angle_gamma 90.00
loop_
_atom_site_label
_atom_site_type_symbol
_atom_site_fract_x
_atom_site_fract_y
_atom_site_fract_z
Ta1 Ta 0.0000 0.0000 0.0000
Ru1 Ru 0.5000 0.0000 0.5000
Br1 Br 0.2405 0.5000 0.2521
# ΔE to the lowest computed polymorph: 937.5 meV/atom
# crystal system: monoclinic



Entry 5:
# TaRu2Br | the Alexandria database | GGA-PBEsol | optimized geometry
data_TaRu2Br
_chemical_formula_sum 'Ta3 Ru6 Br3'
_space_group_name_H-M_alt 'R -3 m'
_space_group_IT_number 166
_space_group_name_Hall '-R 3 2"'
_cell_length_a 3.0552
_cell_length_b 3.0552
_cell_length_c 24.5937
_cell_angle_alpha 90.00
_cell_angle_beta 90.00
_cell_angle_gamma 120.00
loop_
_atom_site_label
_atom_site_type_symbol
_atom_site_fract_x
_atom_site_fract_y
_atom_site_fract_z
Ta1 Ta 0.0000 0.0000 0.0000
Ru1 Ru 0.0000 0.0000 0.2556
Br1 Br 0.0000 0.0000 0.5000
# ΔE to the lowest computed polymorph: 0.0 meV/atom
# crystal system: trigonal



Entry 6:
# TaRuBr2 | the Alexandria database | GGA-PBEsol | optimized geometry
data_TaRuBr2
_chemical_formula_sum 'Ta3 Ru3 Br6'
_space_group_name_H-M_alt 'R -3 m'
_space_group_IT_number 166
_space_group_name_Hall '-R 3 2"'
_cell_length_a 3.1592
_cell_length_b 3.1592
_cell_length_c 26.3361
_cell_angle_alpha 90.00
_cell_angle_beta 90.00
_cell_angle_gamma 120.00
loop_
_atom_site_label
_atom_site_type_symbol
_atom_site_fract_x
_atom_site_fract_y
_atom_site_fract_z
Ta1 Ta 0.0000 0.0000 0.0000
Ru1 Ru 0.0000 0.0000 0.5000
Br1 Br 0.0000 0.0000 0.0948
# ΔE to the lowest computed polymorph: 952.4 meV/atom
# crystal system: trigonal



Entry 7:
# TaRuBr | the Alexandria database | GGA-PBEsol | optimized geometry
data_TaRuBr
_chemical_formula_sum 'Ta4 Ru4 Br4'
_space_group_name_H-M_alt 'F -4 3 m'
_space_group_IT_number 216
_space_group_name_Hall 'F -4 2 3'
_cell_length_a 6.1193
_cell_length_b 6.1193
_cell_length_c 6.1193
_cell_angle_alpha 90.00
_cell_angle_beta 90.00
_cell_angle_gamma 90.00
loop_
_atom_site_label
_atom_site_type_symbol
_atom_site_fract_x
_atom_site_fract_y
_atom_site_fract_z
Ta1 Ta 0.0000 0.0000 0.0000
Ru1 Ru 0.2500 0.2500 0.7500
Br1 Br 0.0000 0.0000 0.5000
# crystal system: cubic



Entry 8:
# Ta2RuBr | the Alexandria database | GGA-PBEsol | optimized geometry
data_Ta2RuBr
_chemical_formula_sum 'Ta2 Ru1 Br1'
_space_group_name_H-M_alt 'P 1 2/m 1'
_space_group_IT_number 10
_space_group_name_Hall '-P 2y'
_cell_length_a 2.9552
_cell_length_b 4.0967
_cell_length_c 5.6209
_cell_angle_alpha 90.00
_cell_angle_beta 103.34
_cell_angle_gamma 90.00
loop_
_atom_site_label
_atom_site_type_symbol
_atom_site_fract_x
_atom_site_fract_y
_atom_site_fract_z
Ta1 Ta 0.0080 0.0000 0.2343
Ru1 Ru 0.5000 0.5000 0.0000
Br1 Br 0.5000 0.5000 0.5000
# crystal system: monoclinic



Entry 9:
# TaRu2Br | the Alexandria database | GGA-PBEsol | optimized geometry
data_TaRu2Br
_chemical_formula_sum 'Ta1 Ru2 Br1'
_space_group_name_H-M_alt 'P m m 2'
_space_group_IT_number 25
_space_group_name_Hall 'P 2 -2'
_cell_length_a 2.9919
_cell_length_b 3.4947
_cell_length_c 7.1691
_cell_angle_alpha 90.00
_cell_angle_beta 90.00
_cell_angle_gamma 90.00
loop_
_atom_site_label
_atom_site_type_symbol
_atom_site_fract_x
_atom_site_fract_y
_atom_site_fract_z
Ta1 Ta 0.0000 0.0000 0.0000
Ru1 Ru 0.0000 0.0000 0.6537
Ru2 Ru 0.5000 0.5000 0.7821
Br1 Br 0.5000 0.5000 0.2480
# ΔE to the lowest computed polymorph: 119.2 meV/atom
# crystal system: orthorhombic



Entry 10:
# TaRuBr2 | the Alexandria database | GGA-PBEsol | optimized geometry
data_TaRuBr2
_chemical_formula_sum 'Ta1 Ru1 Br2'
_space_group_name_H-M_alt 'P 4/m m m'
_space_group_IT_number 123
_space_group_name_Hall '-P 4 2'
_cell_length_a 3.2139
_cell_length_b 3.2139
_cell_length_c 6.3019
_cell_angle_alpha 90.00
_cell_angle_beta 90.00
_cell_angle_gamma 90.00
loop_
_atom_site_label
_atom_site_type_symbol
_atom_site_fract_x
_atom_site_fract_y
_atom_site_fract_z
Ta1 Ta 0.0000 0.0000 0.0000
Ru1 Ru 0.0000 0.0000 0.5000
Br1 Br 0.5000 0.5000 0.2473
# ΔE to the lowest computed polymorph: 942.5 meV/atom
# crystal system: tetragonal



Entry 11:
# TaRuBr2 | the Alexandria database | GGA-PBEsol | optimized geometry
data_TaRuBr2
_chemical_formula_sum 'Ta2 Ru2 Br4'
_space_group_name_H-M_alt 'C 1 m 1'
_space_group_IT_number 8
_space_group_name_Hall 'C -2y'
_cell_length_a 6.3671
_cell_length_b 3.2215
_cell_length_c 9.1463
_cell_angle_alpha 90.00
_cell_angle_beta 106.06
_cell_angle_gamma 90.00
loop_
_atom_site_label
_atom_site_type_symbol
_atom_site_fract_x
_atom_site_fract_y
_atom_site_fract_z
Ta1 Ta 0.0000 0.0000 0.0000
Ru1 Ru 0.2891 0.5000 0.1689
Br1 Br 0.3086 0.0000 0.7708
Br2 Br 0.4603 0.0000 0.3941
# ΔE to the lowest computed polymorph: 0.0 meV/atom
# crystal system: monoclinic



Entry 12:
# TaRuBr2 | the Alexandria database | GGA-PBEsol | optimized geometry
data_TaRuBr2
_chemical_formula_sum 'Ta2 Ru2 Br4'
_space_group_name_H-M_alt 'C 1 2/m 1'
_space_group_IT_number 12
_space_group_name_Hall '-C 2y'
_cell_length_a 5.8371
_cell_length_b 8.8957
_cell_length_c 3.3693
_cell_angle_alpha 90.00
_cell_angle_beta 124.46
_cell_angle_gamma 90.00
loop_
_atom_site_label
_atom_site_type_symbol
_atom_site_fract_x
_atom_site_fract_y
_atom_site_fract_z
Ta1 Ta 0.0000 0.0000 0.0000
Ru1 Ru 0.0000 0.5000 0.0000
Br1 Br 0.2500 0.2500 0.0000
# ΔE to the lowest computed polymorph: 885.3 meV/atom
# crystal system: monoclinic



Number 1: electronic total energy -0.4015 Ry per atom. Number 2: electronic total energy -0.3746 Ry per atom. Number 3: electronic total energy -0.5957 Ry per atom. Number 4: electronic total energy -0.4331 Ry per atom. Number 5: electronic total energy -0.6181 Ry per atom. Number 6: electronic total energy -0.4320 Ry per atom. Number 7: electronic total energy -0.5509 Ry per atom. Number 8: electronic total energy -0.6588 Ry per atom. Number 9: electronic total energy -0.6093 Ry per atom. Number 10: electronic total energy -0.4327 Ry per atom. Number 11: electronic total energy -0.5020 Ry per atom. Number 12: electronic total energy -0.4369 Ry per atom.